Model a:
Compound: Li3GaPd2
Source: the Alexandria database
Functional: GGA-PBE
Structure: relaxed

extended XYZ file:
```
12
Lattice="3.9253 0.0000 0.0000 0.0000 8.0899 0.0000 -1.9626 -4.0449 5.3931" Properties=species:S:1:pos:R:3 pbc="T T T"
Li 1.9626 2.0225 0.0000
Li 1.9626 6.0674 0.0000
Li 1.9626 -2.0225 3.5084
Li 0.0000 2.0225 1.8847
Li 0.0000 6.0674 1.8847
Li 1.9626 2.0225 3.5084
Ga 0.0000 4.0449 0.0000
Ga 0.0000 0.0000 0.0000
Pd 0.0001 0.0000 3.7394
Pd 1.9627 0.0000 1.6537
Pd -0.0001 4.0449 3.7394
Pd 1.9626 4.0449 1.6537
```

Crystal system   orthorhombic
Density   5.9 Mg/m³
SG   No. 65

---

Model b:
Compound: Li3GaPd2
Source: the Alexandria database
Functional: GGA-PBE
Structure: relaxed

extended XYZ file:
```
12
Lattice="3.8649 0.3513 -0.9427 -0.5932 3.8352 -0.9427 0.5640 0.7217 11.0004" Properties=species:S:1:pos:R:3 pbc="T T T"
Li 0.7772 2.1336 3.9841
Li 1.6712 3.2776 -0.3693
Li 3.0585 2.7747 5.1309
Li 2.1645 1.6307 9.4843
Li 2.3358 1.8369 1.8074
Li 1.4998 3.0714 7.3076
Ga 0.1076 3.5782 1.8074
Ga 3.7281 1.3301 7.3076
Pd 0.0610 1.2242 0.7143
Pd 2.3806 4.1923 2.9006
Pd 3.7747 3.6841 8.4008
Pd 1.4551 0.7160 6.2145
```

Crystal system   monoclinic
Density   5.9 Mg/m³
SG   No. 15

---

In terms of stability, model b leads; the second structure lies 23 meV per atom higher.

---

Model a:
Compound: Li6GaPd2
Source: the Alexandria database
Functional: GGA-PBE
Structure: relaxed

extended XYZ file:
```
9
Lattice="3.7007 0.0000 -1.1067 -0.6417 5.5742 -2.1458 -0.0328 0.1242 6.6313" Properties=species:S:1:pos:R:3 pbc="T T T"
Li 0.9152 4.8492 3.0606
Li 2.1110 0.8491 0.3182
Li 2.1009 4.7317 0.2844
Li 0.2469 2.7716 0.8258
Li 0.9254 0.9666 3.0944
Li 2.7793 2.9267 2.5530
Ga 1.5295 2.7871 -1.6262
Pd 3.3484 1.1412 4.4561
Pd -0.3221 4.5571 -1.0773
```

Crystal system   monoclinic
Density   3.9 Mg/m³
SG   No. 12

---

Model b:
Compound: Li6GaPd2
Source: the Alexandria database
Functional: GGA-PBE
Structure: relaxed

extended XYZ file:
```
9
Lattice="-2.5050 -1.0149 -1.1402 3.4048 -3.0868 -6.0970 -1.8954 -3.9085 6.2790" Properties=species:S:1:pos:R:3 pbc="T T T"
Li -0.6716 -2.9834 -3.0481
Li -0.3239 -5.0269 2.0899
Li -0.5900 -5.3958 -0.6109
Li -2.5194 -3.2698 1.2663
Li 1.5238 -4.7404 -2.2245
Li -0.4056 -2.6144 -0.3473
Ga 0.0000 0.0000 0.0000
Pd 1.3265 -3.7223 -4.7387
Pd -2.3220 -4.2879 3.7805
```

Crystal system   monoclinic
Density   3.8 Mg/m³
SG   No. 12

---

In terms of stability, model a leads; the second structure lies 45 meV per atom higher.

---

Model a:
Compound: LiGa3Pd
Source: the Alexandria database
Functional: GGA-PBE
Structure: relaxed

extended XYZ file:
```
10
Lattice="-4.0670 -0.2741 -3.5587 2.4125 -5.3874 -2.3418 -4.1724 -0.2025 4.7833" Properties=species:S:1:pos:R:3 pbc="T T T"
Li -2.8324 -3.8651 -2.6350
Li -2.9947 -1.9988 1.5179
Ga -4.9383 -3.6454 -0.2469
Ga -1.6146 -4.5241 0.1366
Ga -0.8886 -2.2186 -0.8704
Ga -4.2123 -1.3399 -1.2539
Ga 0.1066 -4.4405 -1.8362
Ga -5.9335 -1.4235 0.7189
Pd 0.0000 0.0000 0.0000
Pd -2.0335 -0.1370 -1.7793
```

Crystal system   hexagonal
Density   5.7 Mg/m³
SG   No. 194

---

Model b:
Compound: LiGa3Pd
Source: the Alexandria database
Functional: GGA-PBE
Structure: relaxed

extended XYZ file:
```
5
Lattice="4.8442 0.0000 0.0000 0.0000 4.8442 0.0000 0.0000 0.0000 4.8442" Properties=species:S:1:pos:R:3 pbc="T T T"
Ga 0.0000 2.4221 0.0000
Ga 0.0000 0.0000 2.4221
Ga 2.4221 0.0000 0.0000
Pd 0.0000 0.0000 0.0000
Li 2.4221 2.4221 2.4221
```

Crystal system   cubic
Density   4.7 Mg/m³
SG   No. 221

---

Model c:
Compound: LiGa3Pd
Source: the Alexandria database
Functional: GGA-PBE
Structure: relaxed

extended XYZ file:
```
10
Lattice="-2.8424 -3.3074 0.9477 -0.2166 -1.3259 -5.2884 6.4432 -2.4477 0.3484" Properties=species:S:1:pos:R:3 pbc="T T T"
Li 4.9619 -3.9945 -1.9483
Li 2.2054 -5.3062 -4.3201
Ga 0.6660 -2.9151 -0.6529
Ga 2.3969 -4.7166 -1.6786
Ga 2.7073 -2.5550 -3.7107
Ga -1.8805 -3.6754 -0.4255
Ga 0.1663 -3.2822 -3.3546
Ga 4.7691 -4.5932 -4.6231
Pd -2.4214 -3.9932 -3.1158
Pd 3.2494 -2.2277 -0.9771
```

Crystal system   monoclinic
Density   6.7 Mg/m³
SG   No. 4

---

In terms of stability, model c leads; the second structure lies 120 meV per atom higher.

---

Model a:
Compound: Li3Ga4Pd
Source: the Alexandria database
Functional: GGA-PBE
Structure: relaxed

extended XYZ file:
```
8
Lattice="-3.0007 -1.1460 -0.4499 1.0751 -1.8614 -2.4288 2.1345 -8.5247 7.4782" Properties=species:S:1:pos:R:3 pbc="T T T"
Pd -0.9628 -1.5037 -1.4394
Ga 1.8702 -7.4691 6.5522
Ga 0.2643 -1.0556 0.9260
Ga 0.8014 -3.2006 2.8077
Ga 1.3331 -5.3241 4.6705
Li -0.4283 -3.6384 0.4332
Li 0.1045 -5.7661 2.2997
Li 0.6373 -7.8938 4.1663
```

Crystal system   tetragonal
Density   5.6 Mg/m³
SG   No. 123

---

Model b:
Compound: Li3Ga4Pd
Source: the Alexandria database
Functional: GGA-PBE
Structure: relaxed

extended XYZ file:
```
8
Lattice="-4.4144 -2.2368 -3.2429 4.3077 -3.1483 2.5570 -0.2331 2.0349 5.5508" Properties=species:S:1:pos:R:3 pbc="T T T"
Li -1.6952 -0.3928 3.3476
Li -3.8607 -0.1677 1.9172
Li 0.5970 -2.9904 1.8940
Ga 2.6055 -0.8360 6.1579
Ga 0.6862 -0.3115 2.3388
Ga -1.4907 -1.4093 0.5556
Ga 2.8703 -1.8663 3.4554
Pd 0.3709 -0.6291 4.8815
```

Crystal system   orthorhombic
Density   5.2 Mg/m³
SG   No. 44

---

In terms of stability, model a leads; the second structure lies 116 meV per atom higher.

---

Model a:
Compound: Li2Ga4Pd3
Source: the Alexandria database
Functional: GGA-PBE
Structure: relaxed

extended XYZ file:
```
18
Lattice="4.7196 0.0876 0.4178 0.5631 7.2574 2.7157 0.2559 -0.2495 7.7611" Properties=species:S:1:pos:R:3 pbc="T T T"
Li 1.4369 5.1966 5.8221
Li 1.8175 3.7024 3.6221
Li 4.1017 1.8990 5.0725
Li 3.7211 3.3932 7.2725
Ga 2.7576 0.3743 6.7300
Ga 4.9135 1.2111 8.1064
Ga 2.7810 6.7213 4.1646
Ga 0.6251 5.8845 2.7882
Ga 3.7200 6.0122 7.0859
Ga 4.2573 3.0565 2.7209
Ga 1.8185 1.0834 3.8086
Ga 1.2813 4.0392 8.1737
Pd 1.0922 6.6787 8.1620
Pd 2.1562 2.0763 1.3790
Pd 4.4463 0.4169 2.7326
Pd 3.3823 5.0193 9.5156
Pd 1.5482 2.5198 6.0191
Pd 3.9903 4.5758 4.8755
```

Crystal system   monoclinic
Density   7.6 Mg/m³
SG   No. 15

---

Model b:
Compound: Li2Ga4Pd3
Source: the Alexandria database
Functional: GGA-PBE
Structure: relaxed

extended XYZ file:
```
9
Lattice="5.4057 -0.0669 0.0000 -2.5716 4.7554 0.0000 -1.4171 -2.3442 6.1128" Properties=species:S:1:pos:R:3 pbc="T T T"
Li 1.4171 2.3442 1.3714
Li 0.0000 0.0000 4.7415
Ga 2.7124 1.5612 4.0531
Ga 0.1218 3.1273 4.0531
Ga -1.2953 0.7830 2.0597
Ga 1.2953 -0.7830 2.0597
Pd 2.7029 -0.0334 0.0000
Pd 0.0000 0.0000 0.0000
Pd -1.2858 2.3777 0.0000
```

Crystal system   orthorhombic
Density   6.5 Mg/m³
SG   No. 69

---

In terms of stability, model a leads; the second structure lies 99 meV per atom higher.

---

Model a:
Compound: Li2Ga2Pd3
Source: the Alexandria database
Functional: GGA-PBE
Structure: relaxed

extended XYZ file:
```
7
Lattice="4.1604 -0.0172 -1.2049 -2.2619 3.7510 -0.0160 -0.3294 -0.2264 7.1461" Properties=species:S:1:pos:R:3 pbc="T T T"
Li 0.6989 0.4166 2.5255
Li 0.8702 3.0909 3.3996
Ga 2.3871 1.4500 0.4792
Ga -0.8180 2.0574 5.4460
Pd 0.0000 0.0000 0.0000
Pd 1.3295 0.7993 5.0928
Pd 0.2396 2.7081 0.8324
```

Crystal system   triclinic
Density   7.2 Mg/m³
SG   No. 2

---

Model b:
Compound: Li2Ga2Pd3
Source: the Alexandria database
Functional: GGA-PBE
Structure: relaxed

extended XYZ file:
```
7
Lattice="3.8062 0.0000 0.0000 -1.9031 4.3904 0.6080 0.0000 -1.1998 5.9121" Properties=species:S:1:pos:R:3 pbc="T T T"
Li 1.9031 3.4309 2.2232
Li 0.0000 -0.2404 4.2970
Ga 1.9031 1.5090 5.2861
Ga 0.0000 1.6815 1.2340
Pd 1.9031 0.0000 0.0000
Pd 1.9031 0.7483 2.6947
Pd 0.0000 2.4422 3.8255
```

Crystal system   monoclinic
Density   7.7 Mg/m³
SG   No. 12

---

In terms of stability, model a leads; the second structure lies 8 meV per atom higher.

---

Model a:
Compound: Li4Ga2Pd3
Source: the Alexandria database
Functional: GGA-PBE
Structure: relaxed

extended XYZ file:
```
9
Lattice="-0.5042 -2.2964 3.5689 4.3704 -2.2858 1.7056 1.1920 3.9970 5.2992" Properties=species:S:1:pos:R:3 pbc="T T T"
Li 2.2749 -2.3011 3.9586
Li 2.2230 1.8373 4.0552
Li 2.8352 -2.4224 6.5185
Li 2.7833 1.7159 6.6151
Ga 0.5685 -0.0833 2.5856
Ga 4.4897 -0.5018 7.9881
Pd 3.9661 -0.2818 5.4968
Pd 0.0000 0.0000 0.0000
Pd 1.0921 -0.3033 5.0769
```

Crystal system   monoclinic
Density   6.2 Mg/m³
SG   No. 12

---

Model b:
Compound: Li4Ga2Pd3
Source: the Alexandria database
Functional: GGA-PBE
Structure: relaxed

extended XYZ file:
```
9
Lattice="-1.1411 3.5825 0.2390 -4.5026 -1.1697 -3.9641 -1.1284 -2.7213 5.7092" Properties=species:S:1:pos:R:3 pbc="T T T"
Li -2.2865 1.2958 -0.6473
Li -4.5286 0.4888 0.7443
Li -4.4856 -1.6043 2.6314
Li -2.2435 -0.7973 1.2398
Ga -1.1736 -0.6397 3.9846
Ga -5.5985 0.3311 -2.0005
Pd -3.2532 0.7262 3.2754
Pd -3.5189 -1.0347 -1.2913
Pd 0.0000 0.0000 0.0000
```

Crystal system   monoclinic
Density   6.2 Mg/m³
SG   No. 12

---

In terms of stability, model a leads; the second structure lies 33 meV per atom higher.

---

Model a:
Compound: LiGa2Pd8
Source: the Alexandria database
Functional: GGA-PBE
Structure: relaxed

extended XYZ file:
```
11
Lattice="-2.9348 -0.1681 3.5519 -3.1595 -3.7923 -4.6059 5.6371 -2.5283 2.7220" Properties=species:S:1:pos:R:3 pbc="T T T"
Li -1.4674 -0.0841 1.7760
Ga 2.9408 -2.9157 0.4758
Ga -0.4631 -3.4049 -2.3597
Pd -1.6680 -5.2787 0.7896
Pd 0.3951 -4.9822 2.5084
Pd 0.6006 -3.9355 -0.0421
Pd -2.7355 -3.6046 -1.2544
Pd 2.2784 -2.8841 2.9224
Pd -1.0577 -2.5532 1.7101
Pd -0.8522 -1.5065 -0.8404
Pd 1.2109 -1.2100 0.8784
```

Crystal system   monoclinic
Density   9.6 Mg/m³
SG   No. 12

---

Model b:
Compound: LiGa2Pd8
Source: the Alexandria database
Functional: GGA-PBE
Structure: relaxed

extended XYZ file:
```
11
Lattice="-2.3645 0.8896 3.2016 -5.6348 0.4646 -4.2906 2.9363 -6.3274 1.3291" Properties=species:S:1:pos:R:3 pbc="T T T"
Li -1.1822 0.4448 1.6008
Ga -3.2363 -1.9935 -1.8362
Ga -1.8267 -2.9797 2.0764
Pd -5.5810 -1.0290 -1.2383
Pd -1.9640 -3.7396 -0.4115
Pd -0.3002 -1.5951 0.2215
Pd -1.7468 0.1440 -1.3301
Pd -4.7628 -3.3781 0.0186
Pd -3.0989 -1.2336 0.6516
Pd 0.5180 -3.9443 1.4785
Pd -3.3162 -5.1172 1.5702
```

Crystal system   orthorhombic
Density   9.9 Mg/m³
SG   No. 71

---

In terms of stability, model b leads; the second structure lies 66 meV per atom higher.